The following is a PBE with a Hubbard U calculation of crystalline MgNi2F2 at its relaxed geometry, from Alexandria via LeMat-Bulk.

```
MgNi2F2
1.0
-5.8180 -3.4442 -1.8558
3.4895 -6.0721 0.3296
-0.7288 -0.2678 2.7818
F Mg Ni
4 2 4
direct
0.7732 0.2732 0.5000
0.2268 0.7268 0.5000
0.7268 0.7732 0.5000
0.2732 0.2268 0.5000
0.0000 0.0000 0.0000
0.5000 0.5000 0.0000
0.8759 0.6241 0.0000
0.6241 0.1241 0.0000
0.1241 0.3759 0.0000
0.3759 0.8759 0.0000
```

Values from the calculation:
Energy above the most stable polymorph in this dataset, eV/atom: 0.737

The following is a PBE with a Hubbard U calculation of crystalline MgNiF5 at its relaxed geometry, from Alexandria via LeMat-Bulk.

```
MgNiF5
1.0
-3.8491 4.9794 -7.2043
-1.1007 -4.3039 -2.3866
-6.7399 -2.3406 1.9832
F Mg Ni
20 4 4
direct
0.0984 0.1310 0.2672
0.6749 0.1630 0.8570
0.8251 0.1630 0.3570
0.1749 0.8370 0.6430
0.8825 0.4120 0.5984
0.8918 0.3584 0.0077
0.4016 0.1310 0.7672
0.1175 0.5880 0.4016
0.3603 0.2010 0.3431
0.9016 0.8690 0.7328
0.3918 0.6416 0.4923
0.6175 0.4120 0.0984
0.6397 0.7990 0.6569
0.3825 0.5880 0.9016
0.1397 0.2010 0.8431
0.5984 0.8690 0.2328
0.3251 0.8370 0.1430
0.1082 0.6416 0.9923
0.8603 0.7990 0.1569
0.6082 0.3584 0.5077
0.5151 0.4704 0.7341
0.9849 0.4704 0.2341
0.0151 0.5296 0.7659
0.4849 0.5296 0.2659
0.7430 0.1091 0.1216
0.2570 0.8909 0.8784
0.7570 0.1091 0.6216
0.2430 0.8909 0.3784
```

Values from the calculation:
Energy above the most stable polymorph in this dataset, eV/atom: 0.009

The following is a PBE with a Hubbard U calculation of crystalline MgNi2F at its relaxed geometry, from Alexandria via LeMat-Bulk.

```
MgNi2F
1.0
-2.4624 -2.1796 -0.1079
0.0233 -0.1889 3.2847
-7.9872 6.4375 2.0747
F Ni Mg
2 4 2
direct
0.2500 0.7500 0.5000
0.5000 0.5000 0.0000
0.6255 0.6250 0.2500
0.1245 0.1250 0.2500
0.8750 0.3745 0.7500
0.3750 0.8755 0.7500
0.7500 0.2500 0.5000
0.0000 0.0000 0.0000
```

Values from the calculation:
Energy above the most stable polymorph in this dataset, eV/atom: 0.000

| no. | M_tot (μB/f.u.) | total energy (eV per formula unit) |
| --- | --- | --- |
| 1 | 2.047 | -13.16 |
| 2 | 3.043 | -30.58 |
| 3 | 1.860 | -10.22 |